A plane-wave DFT calculation with GGA-PBE was carried out for an optimized crystal structure of La4SmDy2Ho.

a b c (Å): 5.258 5.216 11.313
angles (deg): 62.52 90.00 90.00
Atoms (fractional coordinates):
La1 0.500 0.748 0.252
La2 0.000 0.249 0.252
La3 0.500 0.252 0.748
La4 0.000 0.751 0.748
Dy1 0.500 0.000 0.500
Dy2 0.000 0.000 0.000
Ho1 0.000 0.500 0.500
Sm1 0.500 0.500 0.000

Computed properties:
**Symmetry**: Pmmm, No. 47
**Calculated density**: 7.21 g/cm3
**Calculated total energy**: -38.06 eV/cell
**Energy of formation**: 19 meV per atom